Entry 1:
! Tb7Nd2Tm3 PBE optimized geometry; values from VASP
&SYSTEM
  ibrav = 0, nat = 12, ntyp = 3
/
ATOMIC_SPECIES
Tb 158.93 Tb.upf
Nd 144.24 Nd.upf
Tm 168.93 Tm.upf
CELL_PARAMETERS angstrom
6.339 0.000 0.000
0.000 3.517 0.000
-1.874 0.000 17.331
ATOMIC_POSITIONS angstrom
Tb 0.000 0.000 0.000
Tb 1.137 1.759 2.907
Tb 0.697 1.759 8.631
Tb 0.178 0.000 14.508
Tb 4.287 0.000 2.823
Tb 3.768 1.759 8.701
Tb 3.328 1.759 14.424
Nd -0.883 1.759 11.655
Nd 5.348 1.759 5.676
Tm 2.227 0.000 5.935
Tm 3.170 1.759 0.000
Tm 2.238 0.000 11.396
! - spin magnetization (μB per formula unit) = 0.00
! - excess energy over the best structure of this formula in the dataset (eV per formula unit) = 0.00
! - calculated formation energy (eV per atom) = 0.07
! - Fermi-level density of states (states/eV/cell) = 17.20
! - SG = P2/m

---

Entry 2:
! ZrAuBr PBE optimized geometry; values from VASP
&SYSTEM
  ibrav = 0, nat = 3, ntyp = 3
/
ATOMIC_SPECIES
Zr 91.22 Zr.upf
Au 196.97 Au.upf
Br 79.90 Br.upf
CELL_PARAMETERS angstrom
0.000 3.314 3.314
3.314 0.000 3.314
3.314 3.314 0.000
ATOMIC_POSITIONS angstrom
Zr 0.000 0.000 0.000
Au 1.657 1.657 1.657
Br 4.971 4.971 4.971
! - spin magnetization (μB per formula unit) = 0.00
! - excess energy over the best structure of this formula in the dataset (eV per formula unit) = 1.13
! - Fermi-level density of states (states/eV/cell) = 3.61
! - SG = F-43m

---

Entry 3:
! Dy5Zn PBE optimized geometry; values from VASP
&SYSTEM
  ibrav = 0, nat = 6, ntyp = 2
/
ATOMIC_SPECIES
Dy 162.50 Dy.upf
Zn 65.41 Zn.upf
CELL_PARAMETERS angstrom
2.389 -7.413 0.000
2.389 7.413 0.000
0.000 0.000 4.799
ATOMIC_POSITIONS angstrom
Dy 0.000 0.000 0.000
Dy 2.389 5.035 2.399
Dy 2.389 2.473 0.000
Dy 2.389 -2.473 0.000
Dy 2.389 -5.035 2.399
Zn 2.389 0.000 2.399
! - spin magnetization (μB per formula unit) = 0.00
! - excess energy over the best structure of this formula in the dataset (eV per formula unit) = 0.00
! - calculated formation energy (eV per atom) = 0.00
! - Fermi-level density of states (states/eV/cell) = 6.83
! - SG = Cmmm

---

Entry 4:
! Na8Br3Cl3O PBE optimized geometry; values from VASP
&SYSTEM
  ibrav = 0, nat = 15, ntyp = 4
/
ATOMIC_SPECIES
Na 22.99 Na.upf
Br 79.90 Br.upf
Cl 35.45 Cl.upf
O 16.00 O.upf
CELL_PARAMETERS angstrom
4.064 2.346 6.789
-4.064 2.346 6.789
0.000 -4.692 6.789
ATOMIC_POSITIONS angstrom
Na 0.000 0.000 4.986
Na -1.647 -0.951 11.488
Na 0.000 -1.902 8.878
Na -1.647 0.951 8.878
Na 1.647 -0.951 11.488
Na 0.000 1.902 11.488
Na 1.647 0.951 8.878
Na 0.000 0.000 15.380
Br -2.032 -1.173 6.789
Br -2.032 1.173 13.577
Br 0.000 2.346 6.789
Cl -4.064 0.000 10.183
Cl -2.032 1.173 3.394
Cl 2.032 1.173 3.394
O 0.000 0.000 10.183
! - spin magnetization (μB per formula unit) = 0.13
! - Fermi-level density of states (states/eV/cell) = 0.00
! - uncorrected energy (eV/atom) = -3.315
! - SG = R-3m

---

Entry 5:
! Sm2Th2Pd2C PBE optimized geometry; values from VASP
&SYSTEM
  ibrav = 0, nat = 7, ntyp = 4
/
ATOMIC_SPECIES
Sm 150.36 Sm.upf
Th 232.04 Th.upf
Pd 106.42 Pd.upf
C 12.01 C.upf
CELL_PARAMETERS angstrom
6.931 -1.904 0.000
6.931 1.904 0.000
-2.930 0.000 6.435
ATOMIC_POSITIONS angstrom
Sm -0.542 0.000 1.720
Sm 11.474 0.000 4.715
Th 3.384 0.000 1.880
Th 7.548 0.000 4.555
Pd 2.403 0.000 5.845
Pd 8.529 0.000 0.590
C 5.466 0.000 3.217
! - spin magnetization (μB per formula unit) = 0.00
! - calculated formation energy (eV per atom) = -0.47
! - Fermi-level density of states (states/eV/cell) = 6.06
! - SG = C2/m

---

Entry 6:
! HfZrB2 PBE optimized geometry; values from VASP
&SYSTEM
  ibrav = 0, nat = 4, ntyp = 3
/
ATOMIC_SPECIES
Hf 178.49 Hf.upf
Zr 91.22 Zr.upf
B 10.81 B.upf
CELL_PARAMETERS angstrom
3.236 0.000 0.000
0.000 1.772 4.648
0.000 -1.772 4.648
ATOMIC_POSITIONS angstrom
Hf 0.000 0.000 0.000
Zr 1.618 0.000 2.641
B 0.000 0.000 6.442
B 1.618 0.000 5.451
! - spin magnetization (μB per formula unit) = 0.00
! - excess energy over the best structure of this formula in the dataset (eV per formula unit) = 0.00
! - calculated formation energy (eV per atom) = -0.69
! - Fermi-level density of states (states/eV/cell) = 2.85
! - SG = Amm2

---

Entry 7:
! CsMgCd2 PBE optimized geometry; values from VASP
&SYSTEM
  ibrav = 0, nat = 8, ntyp = 3
/
ATOMIC_SPECIES
Cs 132.91 Cs.upf
Mg 24.30 Mg.upf
Cd 112.41 Cd.upf
CELL_PARAMETERS angstrom
-2.988 2.988 10.039
2.988 -2.988 10.039
2.988 2.988 -10.039
ATOMIC_POSITIONS angstrom
Cs 2.988 1.494 2.510
Cs 0.000 1.494 7.529
Mg 2.988 -1.494 7.529
Mg 0.000 4.482 2.510
Cd 0.000 0.000 0.000
Cd 1.494 1.494 -5.019
Cd 1.494 -1.494 5.019
Cd 0.000 2.988 0.000
! - spin magnetization (μB per formula unit) = 0.00
! - calculated formation energy (eV per atom) = 0.10
! - Fermi-level density of states (states/eV/cell) = 2.50
! - SG = I4_1/amd